Crystalline TbNd2Pu at its relaxed geometry, computed with PBE-GGA.

Computed properties:
- Fermi-level density of states (states/eV per cell) = 11.824
- total DFT energy (no corrections) (eV/atom) = -7.001
- energy above the most stable polymorph in this dataset (eV per atom) = 0.009
- formation energy from the elements (eV/atom) = 0.12

```
TbNd2Pu
1.0
1.8050 1.0421 11.6058
-1.8050 1.0421 11.6058
0.0000 -2.0842 11.6058
Tb Nd Pu
1 2 1
Cartesian
0.0000 0.0000 0.0000 Tb
0.0000 0.0000 20.2664 Nd
0.0000 0.0000 26.1488 Nd
0.0000 0.0000 5.8030 Pu
```